## a
Entry from Alexandria: crystalline AsPtF3 at its relaxed geometry (GGA-PBE).

Properties
Its space-group type is Pm-3m.

a = 4.3236 Å, b = 4.3236 Å, c = 4.3236 Å
α = 90.00°, β = 90.00°, γ = 90.00°
With the nearest neighbours (Å) after each atom.
Element x y z (fractional)
As 0.5000 0.5000 0.5000  12 F 3.06
Pt 0.0000 0.0000 0.0000  6 F 2.16
F 0.0000 0.5000 0.0000  2 Pt 2.16
F 0.0000 0.0000 0.5000  2 Pt 2.16
F 0.5000 0.0000 0.0000  2 Pt 2.16

=====

## b
Entry from Alexandria: crystalline AsPtF3 at its relaxed geometry (GGA-PBE).

Properties
Its space-group type is Pm-3m.

a = 4.2178 Å, b = 4.2178 Å, c = 4.2178 Å
α = 90.00°, β = 90.00°, γ = 90.00°
With the nearest neighbours (Å) after each atom.
Element x y z (fractional)
As 0.0000 0.0000 0.0000  6 F 2.11
Pt 0.5000 0.5000 0.5000  12 F 2.98
F 0.0000 0.5000 0.0000  2 As 2.11
F 0.0000 0.0000 0.5000  2 As 2.11
F 0.5000 0.0000 0.0000  2 As 2.11

=====

The least stable of them is a.